1.
# GdTa3O9 (PBE, relaxed)
# * energy relative to the lowest polymorph listed for this composition: 27 meV/atom
data_GdTa3O9
_symmetry_space_group_name_H-M 'C 1 2/m 1'
_symmetry_Int_Tables_number 12
_cell_length_a 12.577
_cell_length_b 7.624
_cell_length_c 6.547
_cell_angle_alpha 90.00
_cell_angle_beta 94.56
_cell_angle_gamma 90.00
loop_
_symmetry_equiv_pos_as_xyz
'x,y,z'
'-x,-y,-z'
'-x,y,-z'
'x,-y,z'
'x+1/2,y+1/2,z'
'-x+1/2,-y+1/2,-z'
'-x+1/2,y+1/2,-z'
'x+1/2,-y+1/2,z'
loop_
_atom_site_label
_atom_site_fract_x
_atom_site_fract_y
_atom_site_fract_z
Gd1 0.231 0.000 0.055
Ta1 0.034 0.248 0.764
Ta2 0.250 0.250 0.500
O1 0.042 0.000 0.712
O2 0.073 0.500 0.811
O3 0.090 0.213 0.070
O4 0.092 0.288 0.453
O5 0.209 0.212 0.783
O6 0.228 0.000 0.419


2.
# Gd3TaO7 (PBE, relaxed)
# * energy relative to the lowest polymorph listed for this composition: 0 meV/atom
data_Gd3TaO7
_symmetry_space_group_name_H-M 'P -1'
_symmetry_Int_Tables_number 2
_cell_length_a 6.460
_cell_length_b 6.571
_cell_length_c 7.678
_cell_angle_alpha 73.21
_cell_angle_beta 89.80
_cell_angle_gamma 82.73
loop_
_symmetry_equiv_pos_as_xyz
'x,y,z'
'-x,-y,-z'
loop_
_atom_site_label
_atom_site_fract_x
_atom_site_fract_y
_atom_site_fract_z
Gd1 0.046 0.007 0.250
Gd2 0.237 0.543 0.109
Gd3 0.239 0.535 0.617
Ta1 0.500 0.000 0.000
Ta2 0.500 0.000 0.500
O1 0.042 0.638 0.841
O2 0.058 0.651 0.336
O3 0.211 0.930 0.550
O4 0.211 0.932 0.984
O5 0.420 0.034 0.241
O6 0.421 0.320 0.444
O7 0.424 0.326 0.898


3.
# Gd3TaO7 (PBE, relaxed)
# * energy relative to the lowest polymorph listed for this composition: 18 meV/atom
data_Gd3TaO7
_symmetry_space_group_name_H-M 'C m c m'
_symmetry_Int_Tables_number 63
_symmetry_space_group_name_Hall '-C 2c 2'
_cell_length_a 10.768
_cell_length_b 7.445
_cell_length_c 7.606
_cell_angle_alpha 90.00
_cell_angle_beta 90.00
_cell_angle_gamma 90.00
loop_
_atom_site_label
_atom_site_fract_x
_atom_site_fract_y
_atom_site_fract_z
Gd1 0.000 0.000 0.000
Gd2 0.230 0.288 0.250
Ta1 0.000 0.500 0.000
O1 0.000 0.428 0.250
O2 0.128 0.309 0.534
O3 0.132 0.021 0.250


4.
# Gd3TaO7 (PBE, relaxed)
# * energy relative to the lowest polymorph listed for this composition: 0 meV/atom
data_Gd3TaO7
_symmetry_space_group_name_H-M 'C 2 2 21'
_symmetry_Int_Tables_number 20
_cell_length_a 7.675
_cell_length_b 10.700
_cell_length_c 7.569
_cell_angle_alpha 90.00
_cell_angle_beta 90.00
_cell_angle_gamma 90.00
loop_
_symmetry_equiv_pos_as_xyz
'x,y,z'
'-x,-y,z+1/2'
'x,-y,-z'
'-x,y,-z+1/2'
'x+1/2,y+1/2,z'
'-x+1/2,-y+1/2,z+1/2'
'x+1/2,-y+1/2,-z'
'-x+1/2,y+1/2,-z+1/2'
loop_
_atom_site_label
_atom_site_fract_x
_atom_site_fract_y
_atom_site_fract_z
Gd1 0.037 0.000 0.000
Gd2 0.233 0.268 0.759
Ta1 0.002 0.500 0.000
O1 0.000 0.128 0.250
O2 0.000 0.140 0.750
O3 0.000 0.437 0.750
O4 0.175 0.372 0.043
O5 0.204 0.378 0.477


5.
# TbGdO3 (PBE, relaxed)
# * VASP energy: -202.833 eV for the cell shown
data_TbGdO3
_symmetry_space_group_name_H-M 'P n m a'
_symmetry_Int_Tables_number 62
_cell_length_a 6.018
_cell_length_b 8.560
_cell_length_c 5.767
_cell_angle_alpha 90.00
_cell_angle_beta 90.00
_cell_angle_gamma 90.00
loop_
_symmetry_equiv_pos_as_xyz
'x,y,z'
'-x,-y,-z'
'-x+1/2,-y,z+1/2'
'x+1/2,y,-z+1/2'
'x+1/2,-y+1/2,-z+1/2'
'-x+1/2,y+1/2,z+1/2'
'-x,y+1/2,-z'
'x,-y+1/2,z'
loop_
_atom_site_label
_atom_site_fract_x
_atom_site_fract_y
_atom_site_fract_z
Tb1 0.000 0.000 0.000
Gd1 0.050 0.250 0.482
O1 0.081 0.750 0.150
O2 0.187 0.580 0.684


6.
# TbGdO2 (PBE, relaxed)
# * VASP energy: -120.321 eV for the cell shown
data_TbGdO2
_symmetry_space_group_name_H-M 'R -3 m'
_symmetry_Int_Tables_number 166
_symmetry_space_group_name_Hall '-R 3 2"'
_cell_length_a 3.6389
_cell_length_b 3.6389
_cell_length_c 19.6701
_cell_angle_alpha 90.00
_cell_angle_beta 90.00
_cell_angle_gamma 120.00
loop_
_atom_site_label
_atom_site_fract_x
_atom_site_fract_y
_atom_site_fract_z
Tb1 0.0000 0.0000 0.0000
Gd1 0.0000 0.0000 0.5000
O1 0.0000 0.0000 0.3867


7.
# TbGd3O (PBE, relaxed)
# * VASP energy: -57.230 eV for the cell shown
data_TbGd3O
_symmetry_space_group_name_H-M 'P m -3 m'
_symmetry_Int_Tables_number 221
_symmetry_space_group_name_Hall '-P 4 2 3'
_cell_length_a 4.996
_cell_length_b 4.996
_cell_length_c 4.996
_cell_angle_alpha 90.00
_cell_angle_beta 90.00
_cell_angle_gamma 90.00
loop_
_atom_site_label
_atom_site_fract_x
_atom_site_fract_y
_atom_site_fract_z
Tb1 0.000 0.000 0.000
Gd1 0.000 0.500 0.500
O1 0.500 0.500 0.500


8.
# Tb2GdO (PBE, relaxed)
# * VASP energy: -31.574 eV for the cell shown
data_Tb2GdO
_symmetry_space_group_name_H-M 'P 4/m m m'
_symmetry_Int_Tables_number 123
_symmetry_space_group_name_Hall '-P 4 2'
_cell_length_a 3.188
_cell_length_b 3.188
_cell_length_c 8.860
_cell_angle_alpha 90.00
_cell_angle_beta 90.00
_cell_angle_gamma 90.00
loop_
_atom_site_label
_atom_site_fract_x
_atom_site_fract_y
_atom_site_fract_z
Tb1 0.000 0.000 0.173
Gd1 0.500 0.500 0.500
O1 0.500 0.500 0.000


Number 1: total magnetization 27.92 μB per cell. Number 2: total magnetization 42.00 μB per cell. Number 3: total magnetization 84.00 μB per cell. Number 4: total magnetization 84.00 μB per cell. Number 5: total magnetization 27.84 μB per cell. Number 6: total magnetization 21.47 μB per cell. Number 7: total magnetization 21.94 μB per cell. Number 8: total magnetization 7.42 μB per cell.